{
  "formula": "Ba2InIrC",
  "functional": "PBE",
  "state": "relaxed",
  "magnetic_moment_mub_per_cell": 0.0,
  "ef_ev_per_atom": -0.099,
  "space_group": "P4/mmm",
  "e_tot_ev_per_atom": -5.033,
  "cell": [[-4.566, -0.202, 3.908], [-3.829, -1.011, -4.526], [0.526, -3.850, 0.415]],
  "species": ["In", "Ba", "Ba", "Ir", "C"],
  "fractional_positions": [[0.500, 0.500, 0.500], [0.500, 0.000, 0.000], [0.000, 0.500, 0.000], [0.000, 0.000, 0.500], [0.000, 0.000, 0.000]]
}



{
  "formula": "YAsPtBr2",
  "functional": "PBE",
  "state": "relaxed",
  "raw_formation_energy_ev_per_atom": 0.12,
  "e_above_lowest_polymorph_ev_per_atom": 0.306,
  "magnetic_moment_mub_per_cell": 0.8,
  "space_group": "P4/mmm",
  "e_tot_ev_per_atom": -3.984,
  "cell": [[5.317, 0.000, 0.000], [0.000, 5.317, 0.000], [0.000, 0.000, 5.939]],
  "species": ["Br", "Br", "As", "Pt", "Y"],
  "fractional_positions": [[0.500, 0.000, 0.000], [0.000, 0.500, 0.000], [0.000, 0.000, 0.500], [0.500, 0.500, 0.500], [0.000, 0.000, 0.000]]
}



{
  "formula": "NaSnPb",
  "functional": "PBE",
  "state": "relaxed",
  "e_above_lowest_polymorph_ev_per_atom": 0.000,
  "magnetic_moment_mub_per_cell": 0.0,
  "ef_ev_per_atom": -0.123,
  "space_group": "P3m1",
  "e_tot_ev_per_atom": -3.133,
  "cell": [[3.473, 0.000, 0.000], [0.000, 5.358, 0.000], [0.000, -2.679, 4.640]],
  "species": ["Sn", "Pb", "Na"],
  "fractional_positions": [[0.058, 0.000, 0.000], [0.272, 0.333, 0.667], [0.670, 0.667, 0.333]]
}



{
  "formula": "Rb2Ge2Pd3",
  "functional": "PBE",
  "state": "relaxed",
  "magnetic_moment_mub_per_cell": 0.0,
  "ef_ev_per_atom": -0.318,
  "space_group": "C2/m",
  "e_tot_ev_per_atom": -4.139,
  "cell": [[4.178, 0.000, 0.000], [-2.089, 5.673, -3.354], [0.000, -0.596, 8.090]],
  "species": ["Rb", "Pd", "Pd", "Rb", "Ge", "Pd", "Ge"],
  "fractional_positions": [[0.855, 0.710, 0.246], [0.667, 0.334, 0.421], [0.500, 0.000, 0.000], [0.145, 0.290, 0.754], [0.887, 0.774, 0.771], [0.333, 0.666, 0.579], [0.113, 0.226, 0.229]]
}